A relaxed structure of Tl2TeSe, computed with PBEsol.

Cell and atoms, written as POSCAR:
```
Tl2TeSe
1.0
4.447 0.000 0.000
0.000 4.447 0.000
-2.223 -2.223 5.528
Te Tl Se
1 2 1
direct
0.250 0.750 0.500 Te
0.750 0.250 0.500 Tl
0.000 0.000 0.000 Tl
0.500 0.500 0.000 Se
```

## Properties
Excess energy over the best structure of this formula in the dataset, meV per atom: 157
V, Å³/atom: 27.3
Size of the total moment, μB per cell: 0.00
SG: I-4m2, No. 119

***

A relaxed structure of Sc2SiBr, computed with PBEsol.

Cell and atoms, written as POSCAR:
```
Sc2SiBr
1.0
3.253 0.000 0.000
1.627 2.817 0.000
1.627 0.939 9.535
Si Br Sc
1 1 2
direct
0.000 0.000 0.000 Si
0.500 0.500 0.500 Br
0.092 0.092 0.724 Sc
0.908 0.908 0.276 Sc
```

## Properties
Excess energy over the best structure of this formula in the dataset, meV per atom: 722
V, Å³/atom: 21.8
Size of the total moment, μB per cell: 0.00
SG: R-3m, No. 166

***

A relaxed structure of Ca2CdCo, computed with PBEsol.

Cell and atoms, written as POSCAR:
```
Ca2CdCo
1.0
-0.151 -3.424 -1.014
-0.135 -2.589 2.461
-8.995 -1.594 0.426
Co Ca Cd
1 2 1
direct
0.000 0.000 0.000 Co
0.735 0.735 0.794 Ca
0.265 0.265 0.206 Ca
0.500 0.500 0.500 Cd
```

## Properties
Formation energy, meV/atom: 305.3
V, Å³/atom: 24.6
Size of the total moment, μB per cell: 0.92
SG: R-3m, No. 166